Density functional theory data (GGA+U) for a relaxed structure of KNdNi4O12.

Cell: 7.7174 5.4317 5.4317 Å, 89.99 90.00 90.00°
Fractional positions:
K 0.0000 0.0000 0.0000
Nd 0.5000 0.5009 0.5009
Ni 0.2463 0.0005 0.5003
Ni 0.2463 0.5003 0.0005
Ni 0.7537 0.0005 0.5003
Ni 0.7537 0.5003 0.0005
O 0.0000 0.0008 0.4996
O 0.0000 0.4996 0.0008
O 0.2673 0.7343 0.7343
O 0.2680 0.2665 0.7343
O 0.2680 0.7343 0.2665
O 0.2686 0.2668 0.2668
O 0.5000 0.5009 0.9990
O 0.5000 0.9990 0.5009
O 0.7314 0.2668 0.2668
O 0.7320 0.2665 0.7343
O 0.7320 0.7343 0.2665
O 0.7327 0.7343 0.7343

Output
mass density = 4.4 g/cm³
magnetic moment = 0.71 μB per atom
VASP energy = -4.703 eV per atom
symmetry = Amm2 (38)
calculated volume = 12.65 A^3/atom